VASP calculation (PBE-GGA) on ZnPSO2 after structural relaxation.

* E_tot: -3.8224 eV/atom
* uncorrected formation energy: 31.2 kJ/mol of atoms

```
5
Lattice="3.6197 0.0000 0.0000 0.0000 3.6197 0.0000 0.0000 0.0000 6.7817" Properties=species:S:1:pos:R:3 pbc="T T T"
Zn 0.0000 0.0000 0.0000
P 0.0000 0.0000 3.3909
S 1.8099 1.8099 3.3909
O 0.0000 1.8099 0.0000
O 1.8099 0.0000 0.0000
```